{"formula": "Pm5HoRh6", "functional": "GGA-PBE", "state": "optimized geometry", "dft_energy_ev_per_atom": -6.7539, "sg": "Cmmm, No. 65", "e_form_ev_per_atom": -0.7173, "lattice": [[-4.282, -0.849, -2.380], [-1.191, -5.466, 4.093], [-5.712, 3.985, 3.660]], "species": ["Rh", "Rh", "Rh", "Rh", "Rh", "Rh", "Pm", "Pm", "Pm", "Pm", "Pm", "Ho"], "fractional_positions": [[0.836, 0.248, 0.328], [0.164, 0.248, 0.672], [0.836, 0.752, 0.328], [0.500, 0.244, 0.000], [0.164, 0.752, 0.672], [0.500, 0.756, 0.000], [0.667, 0.500, 0.667], [0.333, 0.500, 0.333], [0.000, 0.500, 0.000], [0.334, 0.000, 0.332], [0.666, 0.000, 0.668], [0.000, 0.000, 0.000]]}

***

{"formula": "RbAgPb2F8", "functional": "GGA-PBE", "state": "optimized geometry", "dft_energy_ev_per_atom": -4.1916, "raw_formation_energy_mev_per_atom": -2008, "sg": "P-1, No. 2", "lattice": [[4.105, 0.006, -0.004], [-0.018, 6.252, -0.210], [0.000, -0.254, 8.005]], "species": ["F", "F", "F", "F", "F", "F", "F", "F", "Pb", "Pb", "Rb", "Ag"], "fractional_positions": [[0.003, 0.337, 0.750], [0.505, 0.281, 0.979], [0.498, 0.703, 0.508], [0.997, 0.663, 0.250], [0.502, 0.297, 0.492], [0.495, 0.719, 0.021], [0.006, 0.241, 0.217], [0.994, 0.759, 0.783], [0.496, 0.480, 0.244], [0.504, 0.520, 0.756], [0.000, 0.000, 0.500], [0.000, 0.000, 0.000]]}

***

{"formula": "CsLaSe2", "functional": "GGA-PBE", "state": "optimized geometry", "dft_energy_ev_per_atom": -4.8563, "raw_formation_energy_mev_per_atom": -1669, "sg": "Cmcm, No. 63", "lattice": [[-0.812, -5.646, 6.816], [3.790, -10.841, -4.163], [7.710, -5.311, -7.846]], "species": ["Cs", "Cs", "Se", "Se", "Se", "Se", "La", "La"], "fractional_positions": [[0.750, 0.351, 0.851], [0.250, 0.649, 0.149], [0.250, 0.189, 0.170], [0.750, 0.330, 0.311], [0.750, 0.811, 0.830], [0.250, 0.670, 0.689], [0.250, 0.027, 0.527], [0.750, 0.973, 0.473]]}

***

{"formula": "TiHg3B", "functional": "GGA-PBE", "state": "optimized geometry", "dft_energy_ev_per_atom": -2.2781, "sg": "Pm-3m, No. 221", "e_form_ev_per_atom": 0.8175, "lattice": [[-3.711, 2.294, -1.468], [-2.292, -1.289, 3.778], [1.472, 3.777, 2.182]], "species": ["Hg", "Hg", "Hg", "B", "Ti"], "fractional_positions": [[0.500, 0.000, 0.000], [0.000, 0.000, 0.500], [0.000, 0.500, 0.000], [0.000, 0.000, 0.000], [0.500, 0.500, 0.500]]}

***

{"formula": "Ac4CeSn4", "functional": "GGA-PBE", "state": "optimized geometry", "dft_energy_ev_per_atom": -4.7049, "sg": "P4_2/n, No. 86", "e_form_ev_per_atom": -0.4406, "lattice": [[-3.848, 4.725, 3.093], [-7.140, -6.833, 1.556], [4.168, -2.355, 8.784]], "species": ["Ac", "Ac", "Ac", "Ac", "Ac", "Ac", "Ac", "Ac", "Sn", "Sn", "Sn", "Sn", "Sn", "Sn", "Sn", "Sn", "Ce", "Ce"], "fractional_positions": [[0.866, 0.423, 0.215], [0.366, 0.285, 0.923], [0.134, 0.785, 0.423], [0.366, 0.715, 0.077], [0.634, 0.077, 0.285], [0.134, 0.215, 0.577], [0.634, 0.923, 0.715], [0.866, 0.577, 0.785], [0.856, 0.265, 0.891], [0.144, 0.109, 0.265], [0.356, 0.391, 0.235], [0.644, 0.235, 0.609], [0.356, 0.609, 0.765], [0.856, 0.735, 0.109], [0.144, 0.891, 0.735], [0.644, 0.765, 0.391], [0.000, 0.000, 0.000], [0.500, 0.500, 0.500]]}

***

{"formula": "Sm2ZrPb", "functional": "GGA-PBE", "state": "optimized geometry", "dft_energy_ev_per_atom": -5.6024, "sg": "P4/mmm, No. 123", "e_form_ev_per_atom": -0.1787, "lattice": [[4.781, 0.000, 0.000], [0.000, 4.791, 0.000], [0.000, 0.000, 4.791]], "species": ["Sm", "Sm", "Zr", "Pb"], "fractional_positions": [[0.000, 0.500, 0.000], [0.000, 0.000, 0.500], [0.500, 0.000, 0.000], [0.500, 0.500, 0.500]]}

***

{"formula": "Ce3SnPb2", "functional": "GGA-PBE", "state": "optimized geometry", "dft_energy_ev_per_atom": -5.2634, "sg": "P-3m1, No. 164", "e_form_ev_per_atom": -0.3933, "lattice": [[5.583, 0.000, 0.000], [-2.792, 4.835, 0.000], [0.000, 0.000, 6.622]], "species": ["Ce", "Ce", "Ce", "Sn", "Pb", "Pb"], "fractional_positions": [[0.000, 0.000, 0.500], [0.667, 0.333, 0.867], [0.333, 0.667, 0.133], [0.000, 0.000, 0.000], [0.333, 0.667, 0.642], [0.667, 0.333, 0.358]]}

***

{"formula": "ErBe2Ru", "functional": "GGA-PBE", "state": "optimized geometry", "dft_energy_ev_per_atom": -5.5697, "sg": "R-3m, No. 166", "e_form_ev_per_atom": -0.2469, "lattice": [[3.866, 0.000, 0.000], [1.933, 3.348, 0.000], [1.933, 1.116, 4.743]], "species": ["Be", "Be", "Er", "Ru"], "fractional_positions": [[0.196, 0.196, 0.413], [0.804, 0.804, 0.587], [0.000, 0.000, 0.000], [0.500, 0.500, 0.500]]}

***

{"formula": "Y2CuAg3", "functional": "GGA-PBE", "state": "optimized geometry", "dft_energy_ev_per_atom": -4.5028, "sg": "Pmm2, No. 25", "e_form_ev_per_atom": -0.2398, "lattice": [[3.492, 0.000, 0.000], [0.000, 4.644, 0.000], [0.000, 0.000, 8.028]], "species": ["Ag", "Ag", "Ag", "Y", "Y", "Cu"], "fractional_positions": [[0.500, 0.500, 0.655], [0.500, 0.000, 0.177], [0.500, 0.000, 0.835], [0.000, 0.500, 0.013], [0.000, 0.000, 0.491], [0.500, 0.500, 0.329]]}

***

{"formula": "HoSnSe", "functional": "GGA-PBE", "state": "optimized geometry", "dft_energy_ev_per_atom": -5.1922, "raw_formation_energy_mev_per_atom": -1170, "sg": "I4/mmm, No. 139", "lattice": [[4.071, 0.000, 0.000], [0.000, 4.071, 0.000], [-2.036, -2.036, 9.170]], "species": ["Ho", "Ho", "Sn", "Sn", "Se", "Se"], "fractional_positions": [[0.348, 0.348, 0.696], [0.652, 0.652, 0.304], [0.000, 0.500, 0.000], [0.500, 0.000, 0.000], [0.812, 0.812, 0.623], [0.188, 0.188, 0.377]]}

***

{"formula": "Ba2LaTe", "functional": "GGA-PBE", "state": "optimized geometry", "dft_energy_ev_per_atom": -3.5610, "raw_formation_energy_mev_per_atom": -582, "sg": "P4/mmm, No. 123", "lattice": [[4.188, -0.017, 0.000], [0.014, 4.188, 0.000], [0.000, 0.000, 10.318]], "species": ["Te", "Ba", "Ba", "La"], "fractional_positions": [[0.500, 0.500, 0.750], [0.000, 0.000, 0.948], [0.000, 0.000, 0.552], [0.500, 0.500, 0.250]]}

***

{"formula": "MgZrPt3", "functional": "GGA-PBE", "state": "optimized geometry", "dft_energy_ev_per_atom": -5.4485, "sg": "Pm-3m, No. 221", "e_form_ev_per_atom": 0.2045, "lattice": [[-2.037, -1.015, -3.986], [1.888, -4.183, 0.101], [-3.655, -1.594, 2.274]], "species": ["Pt", "Pt", "Pt", "Mg", "Zr"], "fractional_positions": [[0.000, 0.500, 0.000], [0.000, 0.000, 0.500], [0.500, 0.000, 0.000], [0.000, 0.000, 0.000], [0.500, 0.500, 0.500]]}